Record 1
Entry from the Alexandria database: a relaxed BaVGaSn2 crystal (GGA-PBE).

a b c (Å): 5.1982 5.1982 5.0374
angles (deg): 90.00 90.00 90.00
Fractional coordinates of all 5 atoms:
1 Ba 0.5000 0.5000 0.5000
2 Sn 0.5000 0.0000 0.0000
3 Sn 0.0000 0.5000 0.0000
4 V 0.0000 0.0000 0.0000
5 Ga 0.0000 0.0000 0.5000

**Space-group type**: P4/mmm (123)
**DFT formation energy**: -25.6 kJ/mol of atoms
**Calculated volume**: 136.12 Å³ per cell
**DFT total energy**: -23.403 eV/cell
**Total magnetic moment**: 0.313 μB/cell


Record 2
Entry from the Alexandria database: a relaxed Ba2YGaSn crystal (GGA-PBE).

a b c (Å): 6.1434 5.6288 6.1434
angles (deg): 90.00 90.00 90.00
Fractional coordinates of all 5 atoms:
1 Sn 0.5000 0.5000 0.5000
2 Ba 0.5000 0.0000 0.0000
3 Ba 0.0000 0.0000 0.5000
4 Y 0.0000 0.5000 0.0000
5 Ga 0.0000 0.0000 0.0000

**Space-group type**: P4/mmm (123)
**DFT formation energy**: -2.1 kJ/mol of atoms
**Calculated volume**: 212.44 Å³ per cell
**DFT total energy**: -17.446 eV/cell
**Total magnetic moment**: 0.000 μB/cell


Record 3
Entry from the Alexandria database: a relaxed BaYGaSn2 crystal (GGA-PBE).

a b c (Å): 6.1135 6.1135 5.9624
angles (deg): 90.00 90.00 90.00
Fractional coordinates of all 5 atoms:
1 Ga 0.5000 0.5000 0.5000
2 Sn 0.0000 0.5000 0.0000
3 Sn 0.5000 0.0000 0.0000
4 Ba 0.0000 0.0000 0.0000
5 Y 0.0000 0.0000 0.5000

**Space-group type**: P4/mmm (123)
**DFT formation energy**: 103.3 kJ/mol of atoms
**Calculated volume**: 222.85 Å³ per cell
**DFT total energy**: -14.064 eV/cell
**Total magnetic moment**: 0.000 μB/cell